Entry 1:
Entry from Alexandria: a relaxed Al2SiPd3 crystal (PBE-GGA).

Properties
- Spin magnetization: 0.0 μB per formula unit
- Calculated volume: 15.7 A^3/atom
- Uncorrected formation energy: -0.56 eV/atom
- ρ: 7.082 Mg/m³
- SG: C2/c (15)

Geometry as POSCAR:
```
Al2SiPd3
1.0
-3.8870 -4.1332 -1.4867
3.4523 -1.8617 -3.8500
3.3902 -1.0694 5.6797
Al Si Pd
4 2 6
direct
0.7445 0.0893 0.3682 Al
0.3763 0.4107 0.6318 Al
0.2555 0.9107 0.6318 Al
0.6237 0.5893 0.3682 Al
0.7759 0.7500 0.0000 Si
0.2241 0.2500 0.0000 Si
0.8751 0.4424 0.7374 Pd
0.1249 0.5576 0.2626 Pd
0.6258 0.2500 0.0000 Pd
0.3742 0.7500 0.0000 Pd
0.1377 0.0576 0.2626 Pd
0.8623 0.9424 0.7374 Pd
```

***

Entry 2:
Entry from Alexandria: a relaxed Al6SiPd12 crystal (PBE-GGA).

Properties
- Spin magnetization: 0.0 μB per formula unit
- Calculated volume: 17.4 A^3/atom
- Uncorrected formation energy: -0.55 eV/atom
- ρ: 7.374 Mg/m³
- SG: R-3 (148)

Geometry as POSCAR:
```
Al6SiPd12
1.0
-5.5312 2.0450 -3.7660
-1.9175 -6.6375 1.1068
-1.9305 2.6626 6.1759
Al Pd Si
6 12 1
direct
0.1547 0.5432 0.2788 Al
0.4568 0.7212 0.8453 Al
0.2788 0.1547 0.5432 Al
0.7212 0.8453 0.4568 Al
0.8453 0.4568 0.7212 Al
0.5432 0.2788 0.1547 Al
0.6168 0.1775 0.4770 Pd
0.4770 0.6168 0.1775 Pd
0.1775 0.4770 0.6168 Pd
0.8225 0.5230 0.3832 Pd
0.1078 0.6850 0.9682 Pd
0.3832 0.8225 0.5230 Pd
0.8922 0.3150 0.0318 Pd
0.6850 0.9682 0.1078 Pd
0.0318 0.8922 0.3150 Pd
0.3150 0.0318 0.8922 Pd
0.9682 0.1078 0.6850 Pd
0.5230 0.3832 0.8225 Pd
0.0000 0.0000 0.0000 Si
```

***

Entry 3:
Entry from Alexandria: a relaxed AlSi2Pd2 crystal (PBE-GGA).

Properties
- Spin magnetization: 0.0 μB per formula unit
- Calculated volume: 15.6 A^3/atom
- Uncorrected formation energy: -0.19 eV/atom
- ρ: 6.304 Mg/m³
- SG: P4/mbm (127)

Geometry as POSCAR:
```
AlSi2Pd2
1.0
7.5941 0.0000 0.0000
0.0000 7.5941 0.0000
0.0000 0.0000 2.7039
Si Pd Al
4 4 2
direct
0.8771 0.6229 0.0000 Si
0.6229 0.1229 0.0000 Si
0.1229 0.3771 0.0000 Si
0.3771 0.8771 0.0000 Si
0.8262 0.3262 0.5000 Pd
0.3262 0.1738 0.5000 Pd
0.6738 0.8262 0.5000 Pd
0.1738 0.6738 0.5000 Pd
0.5000 0.5000 0.0000 Al
0.0000 0.0000 0.0000 Al
```